No. 1
Ba2Li3NpF12: optimized geometry, PBE.

The structure in CIF format:
```
data_Ba2Li3NpF12
_chemical_formula_sum 'Ba6 Li9 Np3 F36'
_cell_length_a 6.8994
_cell_length_b 6.8994
_cell_length_c 17.9170
_cell_angle_alpha 90.00
_cell_angle_beta 90.00
_cell_angle_gamma 120.00
_symmetry_space_group_name_H-M 'R -3 m'
_symmetry_Int_Tables_number 166
_symmetry_space_group_name_Hall '-R 3 2"'
loop_
_atom_site_label
_atom_site_type_symbol
_atom_site_fract_x
_atom_site_fract_y
_atom_site_fract_z
_atom_site_occupancy
Ba1 Ba 0.0000 0.0000 0.0995 1
Li1 Li 0.0000 0.5000 0.0000 1
Np1 Np 0.0000 0.0000 0.5000 1
F1 F 0.0234 0.5117 0.8686 1
F2 F 0.0680 0.5340 0.2933 1
```

For the formation energy (no corrections), the calculation gives -3.21 eV per atom. The volume is 13.7 A^3/atom.

---

No. 2
BaLiOF2: optimized geometry, PBE.

The structure in CIF format:
```
data_BaLiOF2
_chemical_formula_sum 'Ba1 Li1 O1 F2'
_cell_length_a 4.039
_cell_length_b 4.039
_cell_length_c 4.124
_cell_angle_alpha 90.00
_cell_angle_beta 90.00
_cell_angle_gamma 90.00
_symmetry_space_group_name_H-M 'P 4/m m m'
_symmetry_Int_Tables_number 123
_symmetry_space_group_name_Hall '-P 4 2'
loop_
_atom_site_label
_atom_site_type_symbol
_atom_site_fract_x
_atom_site_fract_y
_atom_site_fract_z
_atom_site_occupancy
Ba1 Ba 0.000 0.000 0.000 1
Li1 Li 0.500 0.500 0.500 1
O1 O 0.500 0.500 0.000 1
F1 F 0.000 0.500 0.500 1
```

For the formation energy (no corrections), the calculation gives -2.64 eV per atom. The volume is 13.5 A^3/atom.

---

No. 3
BaLiOF2: optimized geometry, PBE.

The structure in CIF format:
```
data_BaLiOF2
_chemical_formula_sum 'Ba1 Li1 O1 F2'
_cell_length_a 5.069
_cell_length_b 5.069
_cell_length_c 4.556
_cell_angle_alpha 90.00
_cell_angle_beta 90.00
_cell_angle_gamma 90.00
_symmetry_space_group_name_H-M 'P 4/m m m'
_symmetry_Int_Tables_number 123
_symmetry_space_group_name_Hall '-P 4 2'
loop_
_atom_site_label
_atom_site_type_symbol
_atom_site_fract_x
_atom_site_fract_y
_atom_site_fract_z
_atom_site_occupancy
Ba1 Ba 0.000 0.000 0.000 1
Li1 Li 0.500 0.500 0.500 1
O1 O 0.000 0.000 0.500 1
F1 F 0.000 0.500 0.000 1
```

For the formation energy (no corrections), the calculation gives -2.04 eV per atom. The volume is 23.4 A^3/atom.

---

No. 4
BaLi2OF2: optimized geometry, PBE.

The structure in CIF format:
```
data_BaLi2OF2
_chemical_formula_sum 'Ba2 Li4 O2 F4'
_cell_length_a 5.878
_cell_length_b 4.481
_cell_length_c 6.442
_cell_angle_alpha 90.00
_cell_angle_beta 107.57
_cell_angle_gamma 90.00
_symmetry_space_group_name_H-M 'P 1 21/m 1'
_symmetry_Int_Tables_number 11
_symmetry_space_group_name_Hall '-P 2yb'
loop_
_atom_site_label
_atom_site_type_symbol
_atom_site_fract_x
_atom_site_fract_y
_atom_site_fract_z
_atom_site_occupancy
Ba1 Ba 0.153 0.250 0.276 1
Li1 Li 0.383 0.005 0.826 1
O1 O 0.328 0.750 0.049 1
F1 F 0.120 0.250 0.698 1
F2 F 0.374 0.750 0.594 1
```

For the formation energy (no corrections), the calculation gives -2.75 eV per atom. The volume is 13.5 A^3/atom.

---

No. 5
BaLi2PaF8: optimized geometry, PBE.

The structure in CIF format:
```
data_BaLi2PaF8
_chemical_formula_sum 'Ba2 Li4 Pa2 F16'
_cell_length_a 7.947
_cell_length_b 5.841
_cell_length_c 8.578
_cell_angle_alpha 90.00
_cell_angle_beta 93.26
_cell_angle_gamma 90.00
_symmetry_space_group_name_H-M 'C 1 2/m 1'
_symmetry_Int_Tables_number 12
_symmetry_space_group_name_Hall '-C 2y'
loop_
_atom_site_label
_atom_site_type_symbol
_atom_site_fract_x
_atom_site_fract_y
_atom_site_fract_z
_atom_site_occupancy
Ba1 Ba 0.000 0.000 0.000 1
Li1 Li 0.109 0.500 0.256 1
Pa1 Pa 0.000 0.000 0.500 1
F1 F 0.005 0.228 0.709 1
F2 F 0.187 0.500 0.063 1
F3 F 0.224 0.500 0.467 1
```

For the formation energy (no corrections), the calculation gives -3.49 eV per atom. The volume is 16.6 A^3/atom.

---

No. 6
BaLiPb2F8: optimized geometry, PBE.

The structure in CIF format:
```
data_BaLiPb2F8
_chemical_formula_sum 'Ba1 Li1 Pb2 F8'
_cell_length_a 4.435
_cell_length_b 5.887
_cell_length_c 8.068
_cell_angle_alpha 94.65
_cell_angle_beta 91.86
_cell_angle_gamma 91.19
_symmetry_space_group_name_H-M 'P -1'
_symmetry_Int_Tables_number 2
_symmetry_space_group_name_Hall '-P 1'
loop_
_atom_site_label
_atom_site_type_symbol
_atom_site_fract_x
_atom_site_fract_y
_atom_site_fract_z
_atom_site_occupancy
Ba1 Ba 0.000 0.000 0.000 1
Li1 Li 0.000 0.000 0.500 1
Pb1 Pb 0.434 0.472 0.733 1
F1 F 0.053 0.379 0.222 1
F2 F 0.107 0.146 0.705 1
F3 F 0.390 0.722 0.512 1
F4 F 0.478 0.741 0.017 1
```

For the formation energy (no corrections), the calculation gives -2.69 eV per atom. The volume is 17.5 A^3/atom.